No. 1
Below is a relaxed structure of Tm5Te5C, with properties calculated at the GGA-PBE level.

Output
Space group: C2/m (12)
Calculated total energy, eV/cell: -59.6
Total moment, μB/atom: 0.000

abc: 7.243 7.243 8.312
angles: 107.52 107.52 48.40
Element x y z (fractional)
Tm (0.000, 0.000, 0.000)
Tm (0.358, 0.358, 0.137)
Tm (0.362, 0.362, 0.718)
Tm (0.638, 0.638, 0.282)
Tm (0.642, 0.642, 0.863)
Te (0.160, 0.160, 0.813)
Te (0.180, 0.180, 0.334)
Te (0.500, 0.500, 0.500)
Te (0.820, 0.820, 0.666)
Te (0.840, 0.840, 0.187)
C (0.500, 0.500, 0.000)

---

No. 2
Below is a relaxed structure of Tb4Ho3Er5, with properties calculated at the GGA-PBE level.

Output
Space group: P-1 (2)
Distance to the lowest polymorph of the same formula, eV/atom: 0.000
ΔH_f (0 K), eV per atom: 0.0191
Calculated total energy, eV/cell: -54.8
Total moment, μB/atom: 0.000

abc: 6.097 7.045 8.612
angles: 90.01 90.06 90.11
Element x y z (fractional)
Tb (0.167, 0.000, 0.167)
Tb (0.333, 0.251, 0.833)
Tb (0.667, 0.749, 0.167)
Tb (0.833, 0.000, 0.833)
Ho (0.333, 0.750, 0.833)
Ho (0.500, 0.500, 0.500)
Ho (0.667, 0.250, 0.167)
Er (0.000, 0.251, 0.500)
Er (0.000, 0.749, 0.500)
Er (0.167, 0.500, 0.168)
Er (0.500, 0.000, 0.500)
Er (0.833, 0.500, 0.832)

---

No. 3
Below is a relaxed structure of SiOs3Br, with properties calculated at the GGA-PBE level.

Output
Space group: Pm-3m (221)
Distance to the lowest polymorph of the same formula, eV/atom: 0.825
Calculated total energy, eV/cell: -27.7
Total moment, μB/atom: 0.000

abc: 4.567 4.567 4.567
angles: 90.00 90.00 90.00
Element x y z (fractional)
Si (0.000, 0.000, 0.000)
Os (0.000, 0.500, 0.500)
Os (0.500, 0.000, 0.500)
Os (0.500, 0.500, 0.000)
Br (0.500, 0.500, 0.500)

---

No. 4
Below is a relaxed structure of GdZr2Zn, with properties calculated at the GGA-PBE level.

Output
Space group: P4/mmm (123)
Distance to the lowest polymorph of the same formula, eV/atom: 0.031
ΔH_f (0 K), eV per atom: -0.0108
Calculated total energy, eV/cell: -32.5
Total moment, μB/atom: 1.773

abc: 4.475 4.475 4.462
angles: 90.00 90.00 90.00
Element x y z (fractional)
Gd (0.000, 0.000, 0.000)
Zr (0.000, 0.500, 0.500)
Zr (0.500, 0.000, 0.500)
Zn (0.500, 0.500, 0.000)

---

Copy entry 4 word for word.
Below is a relaxed structure of GdZr2Zn, with properties calculated at the GGA-PBE level.

Output
Space group: P4/mmm (123)
Distance to the lowest polymorph of the same formula, eV/atom: 0.031
ΔH_f (0 K), eV per atom: -0.0108
Calculated total energy, eV/cell: -32.5
Total moment, μB/atom: 1.773

abc: 4.475 4.475 4.462
angles: 90.00 90.00 90.00
Element x y z (fractional)
Gd (0.000, 0.000, 0.000)
Zr (0.000, 0.500, 0.500)
Zr (0.500, 0.000, 0.500)
Zn (0.500, 0.500, 0.000)

---

Copy entry 3 word for word.
Below is a relaxed structure of SiOs3Br, with properties calculated at the GGA-PBE level.

Output
Space group: Pm-3m (221)
Distance to the lowest polymorph of the same formula, eV/atom: 0.825
Calculated total energy, eV/cell: -27.7
Total moment, μB/atom: 0.000

abc: 4.567 4.567 4.567
angles: 90.00 90.00 90.00
Element x y z (fractional)
Si (0.000, 0.000, 0.000)
Os (0.000, 0.500, 0.500)
Os (0.500, 0.000, 0.500)
Os (0.500, 0.500, 0.000)
Br (0.500, 0.500, 0.500)

---

Please write out number 1 again, unchanged.
Below is a relaxed structure of Tm5Te5C, with properties calculated at the GGA-PBE level.

Output
Space group: C2/m (12)
Calculated total energy, eV/cell: -59.6
Total moment, μB/atom: 0.000

abc: 7.243 7.243 8.312
angles: 107.52 107.52 48.40
Element x y z (fractional)
Tm (0.000, 0.000, 0.000)
Tm (0.358, 0.358, 0.137)
Tm (0.362, 0.362, 0.718)
Tm (0.638, 0.638, 0.282)
Tm (0.642, 0.642, 0.863)
Te (0.160, 0.160, 0.813)
Te (0.180, 0.180, 0.334)
Te (0.500, 0.500, 0.500)
Te (0.820, 0.820, 0.666)
Te (0.840, 0.840, 0.187)
C (0.500, 0.500, 0.000)

---

Which value of calculated total energy does entry 2 give?
-54.8 eV/cell